# 1
A plane-wave DFT calculation with PBE was carried out for an optimized crystal structure of LiGa2Sn2Au5.

Its formation energy is -3.59 kcal/mol of atoms. The total energy is -67.837 eV for the cell shown. The crystal system is tetragonal.

The space group is P4/mbm (No. 127) and the conventional cell measures 10.2987, 10.2987 and 3.7700 Å, with angles of 90.00, 90.00 and 90.00 degrees. The asymmetric unit holds Li at (0.0000, 0.0000, 0.0000), Ga at (0.1312, 0.3688, 0.0000), Sn at (0.1818, 0.6818, 0.0000), Au at (0.0000, 0.5000, 0.5000) and Au at (0.0064, 0.2003, 0.5000).

# 2
A plane-wave DFT calculation with PBE was carried out for an optimized crystal structure of MgZnCo2.

Its formation energy is 3.15 kcal/mol of atoms. The total energy is -33.068 eV for the cell shown. The crystal system is orthorhombic.

The space group is Cmmm (No. 65) and the conventional cell measures 5.2472, 7.5354 and 2.6517 Å, with angles of 90.00, 90.00 and 90.00 degrees. The asymmetric unit holds Mg at (0.0000, 0.0000, 0.0000), Zn at (0.0000, 0.5000, 0.0000) and Co at (0.2500, 0.2500, 0.5000).

# 3
A plane-wave DFT calculation with PBE was carried out for an optimized crystal structure of Sr5Gd3H12.

The total energy is -780.106 eV for the cell shown. The crystal system is cubic.

The space group is Ia-3d (No. 230) and the conventional cell measures 13.9512, 13.9512 and 13.9512 Å, with angles of 90.00, 90.00 and 90.00 degrees. The asymmetric unit holds Sr at (0.0000, 0.0000, 0.0000), Sr at (0.0000, 0.2500, 0.3750), Gd at (0.0000, 0.2500, 0.1250) and H at (0.0014, 0.0729, 0.1597).

# 4
A plane-wave DFT calculation with PBE was carried out for an optimized crystal structure of Tb6PmDy2Er3.

Its formation energy is 0.37 kcal/mol of atoms. The total energy is -110.463 eV for the cell shown. The crystal system is monoclinic.

The space group is C2/m (No. 12) and the conventional cell measures 6.1513, 10.6448 and 11.7642 Å, with angles of 90.00, 99.98 and 90.00 degrees. The asymmetric unit holds Tb at (0.2483, 0.1669, 0.2479), Tb at (0.2491, 0.5000, 0.2479), Pm at (0.0000, 0.5000, 0.5000), Dy at (0.0000, 0.1666, 0.5000), Er at (0.0000, 0.0000, 0.0000) and Er at (0.0000, 0.3331, 0.0000).

# 5
A plane-wave DFT calculation with PBE was carried out for an optimized crystal structure of Ba2MoIr.

Its formation energy is 8.88 kcal/mol of atoms. The total energy is -43.993 eV for the cell shown. For the relative energy among the computed polymorphs, the calculation gives 47 meV per atom. The crystal system is orthorhombic.

The space group is Imm2 (No. 44) and the conventional cell measures 4.0172, 5.2980 and 12.5704 Å, with angles of 90.00, 90.00 and 90.00 degrees. The asymmetric unit holds Ba at (0.0000, 0.0000, 0.0000), Ba at (0.0000, 0.5000, 0.2272), Mo at (0.0000, 0.0000, 0.4188) and Ir at (0.0000, 0.5000, 0.8172).

# 6
A plane-wave DFT calculation with PBE was carried out for an optimized crystal structure of HfZr2Os2.

Its formation energy is -8.18 kcal/mol of atoms. The total energy is -102.564 eV for the cell shown. For the relative energy among the computed polymorphs, the calculation gives 0 meV per atom. The crystal system is orthorhombic.

The space group is Cmmm (No. 65) and the conventional cell measures 3.1926, 19.6235 and 3.1675 Å, with angles of 90.00, 90.00 and 90.00 degrees. The asymmetric unit holds Hf at (0.0000, 0.0000, 0.0000), Zr at (0.0000, 0.1705, 0.0000) and Os at (0.0000, 0.4144, 0.5000).

# 7
A plane-wave DFT calculation with PBE was carried out for an optimized crystal structure of NbFeBr6.

The total energy is -100.238 eV for the cell shown. For the formation energy (no corrections), the calculation gives -0.605 eV per atom. For the relative energy among the computed polymorphs, the calculation gives 0 meV per atom. The crystal system is trigonal.

The space group is R-3 (No. 148, hexagonal axes) and the conventional cell measures 6.5835, 6.5835 and 17.6852 Å, with angles of 90.00, 90.00 and 120.00 degrees. The asymmetric unit holds Nb at (0.0000, 0.0000, 0.0000), Fe at (0.0000, 0.0000, 0.5000) and Br at (0.0025, 0.3505, 0.7503).

# 8
A plane-wave DFT calculation with PBE was carried out for an optimized crystal structure of CdAgOF2.

The total energy is -16.774 eV for the cell shown. For the formation energy (no corrections), the calculation gives -0.861 eV per atom. For the relative energy among the computed polymorphs, the calculation gives 0 meV per atom. The crystal system is tetragonal.

The space group is P4/mmm (No. 123) and the conventional cell measures 4.3755, 4.3755 and 4.2571 Å, with angles of 90.00, 90.00 and 90.00 degrees. The asymmetric unit holds Cd at (0.0000, 0.0000, 0.0000), Ag at (0.5000, 0.5000, 0.5000), O at (0.0000, 0.0000, 0.5000) and F at (0.0000, 0.5000, 0.0000).

# 9
A plane-wave DFT calculation with PBE was carried out for an optimized crystal structure of PSe2S.

The total energy is -41.798 eV for the cell shown. For the formation energy (no corrections), the calculation gives 0.643 eV per atom. For the relative energy among the computed polymorphs, the calculation gives 636 meV per atom. The crystal system is trigonal.

The space group is R-3m (No. 166, hexagonal axes) and the conventional cell measures 3.8303, 3.8303 and 23.4909 Å, with angles of 90.00, 90.00 and 120.00 degrees. The asymmetric unit holds P at (0.0000, 0.0000, 0.0000), Se at (0.0000, 0.0000, 0.0927) and S at (0.0000, 0.0000, 0.5000).

# 10
A plane-wave DFT calculation with PBE was carried out for an optimized crystal structure of Rb2MnCoBr6.

The total energy is -38.393 eV for the cell shown. For the formation energy (no corrections), the calculation gives -1.015 eV per atom. For the relative energy among the computed polymorphs, the calculation gives 0 meV per atom. The crystal system is triclinic.

The space group is P1 (No. 1) and the conventional cell measures 6.8776, 8.2887 and 8.3607 Å, with angles of 69.23, 70.51 and 69.69 degrees. The asymmetric unit holds Rb at (0.0000, 0.0000, 0.0000), Rb at (0.4879, 0.4749, 0.5039), Mn at (0.6162, 0.9071, 0.6544), Co at (0.1128, 0.1582, 0.4097), Br at (0.0081, 0.3344, 0.6093), Br at (0.0215, 0.8691, 0.5084), Br at (0.4505, 0.6615, 0.8286), Br at (0.5039, 0.0567, 0.3572), Br at (0.5224, 0.0955, 0.8537) and Br at (0.9626, 0.3445, 0.1698).

# 11
A plane-wave DFT calculation with PBE was carried out for an optimized crystal structure of AlTlPt6.

Its formation energy is -8.60 kcal/mol of atoms. The total energy is -45.337 eV for the cell shown. The crystal system is tetragonal.

The space group is P4/mmm (No. 123) and the conventional cell measures 4.0082, 4.0082 and 8.0494 Å, with angles of 90.00, 90.00 and 90.00 degrees. The asymmetric unit holds Al at (0.0000, 0.0000, 0.0000), Tl at (0.0000, 0.0000, 0.5000), Pt at (0.0000, 0.5000, 0.2313), Pt at (0.5000, 0.5000, 0.0000) and Pt at (0.5000, 0.5000, 0.5000).

# 12
A plane-wave DFT calculation with PBE was carried out for an optimized crystal structure of Ac5PrY4.

Its formation energy is 0.85 kcal/mol of atoms. The total energy is -101.621 eV for the cell shown. The crystal system is monoclinic.

The space group is C2/m (No. 12) and the conventional cell measures 19.3689, 5.4824 and 7.5042 Å, with angles of 90.00, 104.88 and 90.00 degrees. The asymmetric unit holds Ac at (0.0000, 0.0000, 0.0000), Ac at (0.1011, 0.5000, 0.8040), Ac at (0.2007, 0.0000, 0.6022), Pr at (0.0000, 0.0000, 0.5000), Y at (0.1006, 0.5000, 0.3017) and Y at (0.1995, 0.0000, 0.1012).